<w>
A geometry-optimized TaCrSe2 structure. Source: the Alexandria database, functional GGA-PBE.

The structure belongs to space group I-42d (No. 122); the cell edges are 5.917, 5.917 and 11.067 Å and the angles 90.00°, 90.00° and 90.00°. Symmetry generates all atoms from Ta at (0.000, 0.000, 0.000), Cr at (0.000, 0.000, 0.500) and Se at (0.248, 0.250, 0.625).

***

<x>
A geometry-optimized TaCrSe2 structure. Source: the Alexandria database, functional GGA-PBE.

The structure belongs to space group R3m (No. 160, hexagonal axes); the cell edges are 3.2369, 3.2369 and 27.5849 Å and the angles 90.00°, 90.00° and 120.00°. Symmetry generates all atoms from Ta at (0.0000, 0.0000, 0.0000), Cr at (0.0000, 0.0000, 0.2580), Se at (0.0000, 0.0000, 0.5351) and Se at (0.0000, 0.0000, 0.7313).

***

Short version: <x> is the most stable of them.

***

<w>
A geometry-optimized TaCrSe2 structure. Source: the Alexandria database, functional GGA-PBE.

The structure belongs to space group Pm (No. 6); the cell edges are 3.497, 3.887 and 6.852 Å and the angles 90.00°, 90.28° and 90.00°. Symmetry generates all atoms from Ta at (0.000, 0.000, 0.000), Cr at (0.500, 0.500, 0.015), Se at (0.503, 0.000, 0.272) and Se at (0.998, 0.500, 0.750).

***

<x>
A geometry-optimized TaCrSe2 structure. Source: the Alexandria database, functional GGA-PBE.

The structure belongs to space group R-3m (No. 166, hexagonal axes); the cell edges are 3.4259, 3.4259 and 22.2530 Å and the angles 90.00°, 90.00° and 120.00°. Symmetry generates all atoms from Ta at (0.0000, 0.0000, 0.0000), Cr at (0.0000, 0.0000, 0.5000) and Se at (0.0000, 0.0000, 0.2529).

***

<y>
A geometry-optimized TaCrSe2 structure. Source: the Alexandria database, functional GGA-PBE.

The structure belongs to space group C2/m (No. 12); the cell edges are 7.981, 3.382 and 5.669 Å and the angles 90.00°, 98.09° and 90.00°. Symmetry generates all atoms from Ta at (0.000, 0.000, 0.000), Cr at (0.000, 0.500, 0.500) and Se at (0.218, 0.500, 0.230).

***

<z>
A geometry-optimized TaCrSe2 structure. Source: the Alexandria database, functional GGA-PBE.

The structure belongs to space group R-3m (No. 166, hexagonal axes); the cell edges are 3.2050, 3.2050 and 25.1933 Å and the angles 90.00°, 90.00° and 120.00°. Symmetry generates all atoms from Ta at (0.0000, 0.0000, 0.0000), Cr at (0.0000, 0.0000, 0.5000) and Se at (0.0000, 0.0000, 0.4065).

***

Short version: <w> is the most stable of them.

***

<w>
A geometry-optimized TaCrSe3 structure. Source: the Alexandria database, functional GGA-PBE.

The structure belongs to space group Pm-3m (No. 221); the cell edges are 5.041, 5.041 and 5.041 Å and the angles 90.00°, 90.00° and 90.00°. Symmetry generates all atoms from Ta at (0.000, 0.000, 0.000), Cr at (0.500, 0.500, 0.500) and Se at (0.000, 0.000, 0.500).

***

<x>
A geometry-optimized TaCrSe3 structure. Source: the Alexandria database, functional GGA-PBE.

The structure belongs to space group P2_1/m (No. 11); the cell edges are 6.324, 3.531 and 10.545 Å and the angles 90.00°, 102.02° and 90.00°. Symmetry generates all atoms from Ta at (0.002, 0.250, 0.149), Cr at (0.374, 0.250, 0.780), Se at (0.180, 0.750, 0.650), Se at (0.266, 0.750, 0.282) and Se at (0.268, 0.250, 0.989).

***

Short version: <x> is the most stable of them.

***

<w>
A geometry-optimized TaCr3Se structure. Source: the Alexandria database, functional GGA-PBE.

The structure belongs to space group Pm-3m (No. 221); the cell edges are 4.320, 4.320 and 4.320 Å and the angles 90.00°, 90.00° and 90.00°. Symmetry generates all atoms from Ta at (0.000, 0.000, 0.000), Cr at (0.000, 0.500, 0.500) and Se at (0.500, 0.500, 0.500).

***

<x>
A geometry-optimized TaCr3Se structure. Source: the Alexandria database, functional GGA-PBE.

The structure belongs to space group Pm-3m (No. 221); the cell edges are 4.784, 4.784 and 4.784 Å and the angles 90.00°, 90.00° and 90.00°. Symmetry generates all atoms from Ta at (0.000, 0.000, 0.000), Cr at (0.000, 0.000, 0.500) and Se at (0.500, 0.500, 0.500).

***

Short version: <w> is the most stable of them.